Entry 1:
Material: Ag2GeSe
Method: DFT, GGA-PBE
State: relaxed

a b c (Å): 6.803 6.803 6.803
angles (deg): 90.00 90.00 90.00
Space group Fm-3m (No. 225)
One atom of each set of equivalent atoms:
Ag: 0.250 0.250 0.250 x8
Ge: 0.000 0.000 0.000 x4
Se: 0.000 0.000 0.500 x4

For the raw total energy, the calculation gives -3.23 eV/atom. The density is 7.7 Mg/m³. The value obtained for the uncorrected formation energy is 223 meV per atom.


Entry 2:
Material: AgGe2Se6
Method: DFT, GGA-PBE
State: relaxed

a b c (Å): 6.396 10.833 11.415
angles (deg): 77.10 83.97 82.83
Space group P-1 (No. 2)
One atom of each set of equivalent atoms:
Ag: 0.232 0.002 0.495 x2
Ge: 0.125 0.871 0.231 x2
Ge: 0.369 0.268 0.635 x2
Se: 0.004 0.111 0.967 x2
Se: 0.008 0.671 0.335 x2
Se: 0.016 0.059 0.300 x2
Se: 0.469 0.194 0.456 x2
Se: 0.492 0.479 0.606 x2
Se: 0.497 0.157 0.824 x2

For the raw total energy, the calculation gives -3.78 eV/atom. The density is 3.2 Mg/m³. The value obtained for the uncorrected formation energy is -118 meV per atom.


Entry 3:
Material: Ag3Ge2Se4
Method: DFT, GGA-PBE
State: relaxed

a b c (Å): 11.449 11.052 6.579
angles (deg): 90.00 95.74 90.00
Space group C2/c (No. 15)
One atom of each set of equivalent atoms:
Ag: 0.000 0.246 0.250 x4
Ag: 0.139 0.124 0.587 x8
Ge: 0.146 0.375 0.916 x8
Se: 0.129 0.120 0.996 x8
Se: 0.138 0.383 0.523 x8

For the raw total energy, the calculation gives -3.62 eV/atom. The density is 6.3 Mg/m³. The value obtained for the uncorrected formation energy is -93 meV per atom.